# GdYAsI2 | OQMD | GGA-PBE | relaxed
# - VASP energy (eV per cell) = -26.32
# - space-group type = P3m1, No. 156
# - density (g/cm3) = 5.72
data_GdYAsI2
_chemical_formula_sum 'Gd1 Y1 As1 I2'
_cell_length_a 4.1958
_cell_length_b 4.1958
_cell_length_c 10.9446
_cell_angle_alpha 90.00
_cell_angle_beta 90.00
_cell_angle_gamma 120.00
_space_group_name_H-M_alt 'P 1'
_space_group_IT_number 1
_space_group_name_Hall 'P 1'
loop_
_atom_site_label
_atom_site_type_symbol
_atom_site_fract_x
_atom_site_fract_y
_atom_site_fract_z
As1 As 0.0000 0.0000 0.0017
Gd1 Gd 0.3333 0.6667 0.8584
I1 I 0.3333 0.6667 0.3258
I2 I 0.6667 0.3333 0.6724
Y1 Y 0.6667 0.3333 0.1417